# AcBMoO6

AcBMoO6 after structural relaxation (PBE with a Hubbard U, the Alexandria database).

Geometry as POSCAR:
```
AcBMoO6
1.0
5.2176 0.0000 0.0000
-0.0051 5.2310 0.0000
-0.0292 -1.9767 4.9646
Ac B Mo O
1 1 1 6
Direct
0.0000 0.0000 0.0000 Ac
0.5662 0.5008 0.8546 B
0.4752 0.6541 0.3709 Mo
0.2568 0.9080 0.5648 O
0.2899 0.3361 0.3006 O
0.3444 0.6356 0.9848 O
0.6763 0.5844 0.6576 O
0.6921 0.3373 0.9609 O
0.7442 0.8578 0.3180 O
```

Results
- size of the total moment (μB/f.u.) = 0.0
- final energy (eV/atom) = -7.61
- density (g/cm³) = 5.27
- DOS(E_F) (states/eV per atom) = 0.00